# BaNdCo | OQMD | PBE | optimized geometry
data_BaNdCo
_chemical_formula_sum 'Ba4 Nd4 Co4'
_symmetry_space_group_name_H-M 'F -4 3 m'
_symmetry_Int_Tables_number 216
_symmetry_space_group_name_Hall 'F -4 2 3'
_cell_length_a 7.1249
_cell_length_b 7.1249
_cell_length_c 7.1249
_cell_angle_alpha 90.00
_cell_angle_beta 90.00
_cell_angle_gamma 90.00
loop_
_atom_site_label
_atom_site_type_symbol
_atom_site_fract_x
_atom_site_fract_y
_atom_site_fract_z
Ba1 Ba 0.0000 0.0000 0.0000
Nd1 Nd 0.0000 0.0000 0.5000
Co1 Co 0.2500 0.2500 0.2500
# Calculated total energy = -4.22 eV/atom
# Crystal system = cubic